Entry from Alexandria: crystalline BePd2Cl at its relaxed geometry (PBE).

Cell: 4.3329 4.3329 4.3329 Å, 60.00 60.00 60.00°
Closest atoms and distances in Å follow each position.
Positions (direct):
Be  0.0000  0.0000  0.0000  8 Pd 2.65
Pd  0.7500  0.7500  0.7500  4 Be 2.65, 4 Cl 2.65
Pd  0.2500  0.2500  0.2500  4 Cl 2.65, 4 Be 2.65
Cl  0.5000  0.5000  0.5000  8 Pd 2.65

Properties
- SG: Fm-3m, No. 225
- Mass density: 7.43 Mg/m³
- DFT total energy: -3.811 eV/atom

Entry from Alexandria: crystalline BePdCl2 at its relaxed geometry (PBE).

Cell: 5.5949 5.5949 6.0925 Å, 62.67 62.67 90.00°
Closest atoms and distances in Å follow each position.
Positions (direct):
Be  0.5000  0.5000  0.0000  4 Cl 2.05
Pd  0.0000  0.0000  0.0000  4 Cl 2.59
Cl  0.8750  0.7945  0.7500  2 Be 2.05
Cl  0.5445  0.1250  0.2500  2 Be 2.05
Pd  0.7500  0.2500  0.5000  4 Cl 2.59
Cl  0.3750  0.4555  0.7500  2 Be 2.05
Cl  0.2055  0.6250  0.2500  2 Be 2.05
Be  0.2500  0.7500  0.5000  4 Cl 2.05

Properties
- SG: I-42d, No. 122
- Mass density: 4.27 Mg/m³
- DFT total energy: -3.560 eV/atom